The following is a GGA-PBE calculation of a geometry-optimized TcHIrOs2 structure, from Alexandria via LeMat-Bulk.

Properties
**Total magnetic moment**: 0.00 μB per cell
**Crystal system**: tetragonal
**Total energy**: -0.32680 Ha/atom

Unit cell a=3.9068 b=3.9068 c=3.9113 alpha=90.00 beta=90.00 gamma=90.00
Atoms (fractional coordinates):
H  0.0000  0.0000  0.0000
Ir  0.5000  0.5000  0.5000
Os  0.0000  0.5000  0.0000
Os  0.5000  0.0000  0.0000
Tc  0.0000  0.0000  0.5000

The following is a GGA-PBE calculation of a geometry-optimized Tc2HIrOs structure, from Alexandria via LeMat-Bulk.

Properties
**Total magnetic moment**: 0.00 μB per cell
**Crystal system**: tetragonal
**Total energy**: -0.32378 Ha/atom
**Polymorph energy (0 for the lowest one)**: 19.4 meV per atom

Unit cell a=3.9154 b=3.9154 c=3.9032 alpha=90.00 beta=90.00 gamma=90.00
Atoms (fractional coordinates):
H  0.0000  0.0000  0.0000
Ir  0.0000  0.0000  0.5000
Os  0.5000  0.5000  0.5000
Tc  0.0000  0.5000  0.0000
Tc  0.5000  0.0000  0.0000

The following is a GGA-PBE calculation of a geometry-optimized TiHIrOs2 structure, from Alexandria via LeMat-Bulk.

Properties
**Total magnetic moment**: 0.00 μB per cell
**Crystal system**: tetragonal
**Total energy**: -0.32184 Ha/atom

Unit cell a=3.8929 b=3.8929 c=3.9739 alpha=90.00 beta=90.00 gamma=90.00
Atoms (fractional coordinates):
H  0.0000  0.0000  0.0000
Ir  0.5000  0.5000  0.5000
Os  0.0000  0.5000  0.0000
Os  0.5000  0.0000  0.0000
Ti  0.0000  0.0000  0.5000

Number 1: V 11.9 A^3/atom. Number 2: V 12.0 A^3/atom. Number 3: V 12.0 A^3/atom.